SrHg2Ir | PBE-GGA | optimized geometry

Output
Mass density: 12.35 Mg/m³
Symmetry: No. 123
DFT total energy: -2.658 eV per atom
Calculated formation energy: 0.1288 eV/atom

Cell lengths 4.4320, 4.4320, 4.6621 Å; angles 90.00, 90.00, 89.97 degrees
Positions (direct):
Hg 0.0000 0.0000 0.0000
Hg 0.5000 0.5000 0.0000
Ir 0.5000 0.0000 0.5000
Sr 0.0000 0.5000 0.5000



Na3Tl2In3Hg | PBE-GGA | optimized geometry

Output
Mass density: 6.92 Mg/m³
Symmetry: No. 189
DFT total energy: -2.009 eV per atom
Calculated formation energy: -0.0969 eV/atom

Cell lengths 3.6477, 8.8111, 8.8111 Å; angles 120.00, 90.00, 90.00 degrees
Positions (direct):
Tl 0.5000 0.6667 0.3333
Tl 0.5000 0.3333 0.6667
In 0.0000 0.6389 0.6389
In 0.0000 0.3611 0.0000
In 0.0000 0.0000 0.3611
Na 0.5000 0.2885 0.2885
Na 0.5000 0.0000 0.7115
Na 0.5000 0.7115 0.0000
Hg 0.0000 0.0000 0.0000



YAsP2 | PBE-GGA | optimized geometry

Output
Mass density: 4.35 Mg/m³
Symmetry: No. 12
DFT total energy: -6.023 eV per atom
Calculated formation energy: -0.5394 eV/atom

Cell lengths 5.6753, 5.6753, 4.4295 Å; angles 100.29, 100.29, 37.91 degrees
Positions (direct):
As 0.2500 0.2500 0.2500
P 0.0182 0.0182 0.9176
P 0.4818 0.4818 0.5824
Y 0.7500 0.7500 0.7500



La4BiSe2N | PBE-GGA | optimized geometry

Output
Mass density: 6.58 Mg/m³
Uncorrected formation energy: -1.5723 eV per atom
Symmetry: No. 63
DFT total energy: -6.433 eV per atom

Cell lengths 4.3071, 7.5538, 15.1502 Å; angles 90.00, 90.00, 106.56 degrees
Positions (direct):
La 0.5824 0.1649 0.2500
La 0.7342 0.4683 0.8703
La 0.0000 0.0000 0.0000
La 0.4176 0.8351 0.7500
La 0.2658 0.5317 0.1297
La 0.0000 0.0000 0.5000
La 0.7342 0.4683 0.6297
La 0.2658 0.5317 0.3703
Se 0.6351 0.2702 0.0551
Se 0.6351 0.2702 0.4449
Se 0.3649 0.7298 0.5551
Se 0.3649 0.7298 0.9449
Bi 0.0990 0.1980 0.7500
Bi 0.9010 0.8020 0.2500
N 0.1699 0.3398 0.2500
N 0.8301 0.6602 0.7500